Model 1:
{"formula": "Li8BiO6", "functional": "SCAN", "state": "single point on PBEsol structure", "lattice": [[5.746, 0.000, 0.000], [-2.873, 4.976, 0.000], [0.000, 0.000, 10.784]], "species": ["O", "Li", "Li", "O", "Li", "Li", "O", "O", "Li", "O", "O", "O", "Li", "Li", "Li", "Li", "Li", "O", "Bi", "Li", "Li", "Li", "O", "Li", "O", "O", "Li", "Bi", "Li", "O"], "fractional_positions": [[0.333, 0.667, 0.287], [0.667, 0.333, 0.097], [0.000, 0.584, 0.873], [0.000, 0.000, 0.811], [0.416, 0.416, 0.873], [0.322, 0.000, 0.732], [0.641, 0.000, 0.051], [0.000, 0.359, 0.551], [0.333, 0.667, 0.597], [0.641, 0.641, 0.551], [0.667, 0.333, 0.287], [0.333, 0.667, 0.787], [0.416, 0.000, 0.373], [0.333, 0.667, 0.097], [0.584, 0.584, 0.373], [0.678, 0.678, 0.732], [0.678, 0.000, 0.232], [0.667, 0.333, 0.787], [0.000, 0.000, 0.010], [0.667, 0.333, 0.597], [0.584, 0.000, 0.873], [0.000, 0.322, 0.732], [0.359, 0.359, 0.051], [0.000, 0.678, 0.232], [0.000, 0.641, 0.051], [0.359, 0.000, 0.551], [0.322, 0.322, 0.232], [0.000, 0.000, 0.510], [0.000, 0.416, 0.373], [0.000, 0.000, 0.311]], "sg": "P6_3cm", "m_tot_mub_per_atom": 0.067, "n_ef_per_ev_cell": 2.0}



Model 2:
{"formula": "Li8BiO6", "functional": "SCAN", "state": "single point on PBEsol structure", "lattice": [[-3.878, -2.952, -2.706], [-4.048, -2.560, 2.852], [-5.674, 2.513, -0.351]], "species": ["Li", "O", "Li", "O", "O", "Li", "O", "Li", "Li", "Li", "Li", "Li", "O", "O", "Bi"], "fractional_positions": [[0.100, 0.493, 0.634], [0.103, 0.756, 0.743], [0.900, 0.507, 0.366], [0.398, 0.103, 0.743], [0.602, 0.897, 0.257], [0.507, 0.227, 0.366], [0.244, 0.602, 0.257], [0.646, 0.646, 0.061], [0.227, 0.900, 0.366], [0.493, 0.773, 0.634], [0.354, 0.354, 0.939], [0.773, 0.100, 0.634], [0.897, 0.244, 0.257], [0.756, 0.398, 0.743], [0.000, 0.000, 0.000]], "sg": "R-3", "m_tot_mub_per_atom": 0.065, "n_ef_per_ev_cell": 1.9}



Energetically preferred structure: model 2 | next structure: +4.3 kJ/mol of atoms